Record 1
DFT (PBE) results for an optimized crystal structure of LiTcRu2.

abc: 4.248 4.248 4.248
angles: 60.00 60.00 60.00
Positions (direct):
1 Ru 0.250 0.250 0.250
2 Ru 0.000 0.000 0.000
3 Li 0.500 0.500 0.500
4 Tc 0.750 0.750 0.750

Summary:
E_form = 1.26 eV/f.u.
Magnetic moment = 0.000 μB per atom
Excess energy over the best structure of this formula in the dataset = 0.215 eV per atom
DFT total energy = -0.272 Ha/atom


Record 2
DFT (PBE) results for an optimized crystal structure of NaGa4Cu4.

abc: 4.536 8.482 8.482
angles: 90.00 90.00 90.00
Positions (direct):
1 Ga 0.000 0.111 0.611
2 Ga 0.000 0.389 0.111
3 Ga 0.500 0.611 0.111
4 Ga 0.500 0.389 0.889
5 Ga 0.500 0.889 0.611
6 Ga 0.000 0.611 0.889
7 Ga 0.000 0.889 0.389
8 Ga 0.500 0.111 0.389
9 Cu 0.500 0.183 0.694
10 Cu 0.500 0.694 0.817
11 Cu 0.000 0.806 0.683
12 Cu 0.000 0.683 0.194
13 Cu 0.500 0.817 0.306
14 Cu 0.500 0.306 0.183
15 Cu 0.000 0.194 0.317
16 Cu 0.000 0.317 0.806
17 Na 0.500 0.500 0.500
18 Na 0.000 0.000 0.000

Summary:
E_form = -0.41 eV/f.u.
Magnetic moment = 0.000 μB per atom
DFT total energy = -0.123 Ha/atom


Record 3
DFT (PBE) results for an optimized crystal structure of RbOs3Cl.

abc: 5.061 5.061 5.061
angles: 90.00 90.00 90.00
Each line ends with the local moment (μB).
Positions (direct):
1 Cl 0.500 0.500 0.500  0.30
2 Os 0.500 0.000 0.000  2.38
3 Os 0.000 0.500 0.000  2.41
4 Os 0.000 0.000 0.500  2.04
5 Rb 0.000 0.000 0.000  0.04

Summary:
E_form (uncorrected) = 4.227 eV/atom
Magnetic moment = 1.571 μB per atom
Excess energy over the best structure of this formula in the dataset = 1.863 eV per atom
DFT total energy = -0.113 Ha/atom